KNi2F: relaxed, PBE with a Hubbard U.

The density of states at the Fermi level comes out at 4.37 states/eV/cell. As for the magnetic moment: 1.42 μB per formula unit. The energy above the lowest structure with this stoichiometry is 0.0 kJ/mol of formula units.

The space group is I4_1/amd (No. 141, origin choice 2) and the conventional cell measures 5.2573, 5.2573 and 13.0132 Å, with angles of 90.00, 90.00 and 90.00 degrees. The asymmetric unit holds K at (0.0000, 0.2500, 0.3750), Ni at (0.0000, 0.0000, 0.0000) and F at (0.0000, 0.2500, 0.8750).